# La2TiTe

A relaxed structure of La2TiTe (PBE, Alexandria).

```
data_La2TiTe
_chemical_formula_sum 'La8 Ti4 Te4'
_symmetry_space_group_name_H-M 'I -4 2 d'
_symmetry_Int_Tables_number 122
_symmetry_space_group_name_Hall 'I -4 2bw'
_cell_length_a 8.5354
_cell_length_b 8.5354
_cell_length_c 6.3733
_cell_angle_alpha 90.00
_cell_angle_beta 90.00
_cell_angle_gamma 90.00
loop_
_atom_site_label
_atom_site_type_symbol
_atom_site_fract_x
_atom_site_fract_y
_atom_site_fract_z
La1 La 0.2387 0.2500 0.1250
Ti1 Ti 0.0000 0.0000 0.0000
Te1 Te 0.0000 0.0000 0.5000
```

Values from the calculation:
Calculated density (g/cm³): 6.5
Formation energy from raw total energies (eV per atom): -0.071
Magnetization (μB/f.u.): 0.00
DFT total energy (eV/f.u.): -21.2


# Sm3DyEr6Th2

A relaxed structure of Sm3DyEr6Th2 (PBE, Alexandria).

```
data_Sm3DyEr6Th2
_chemical_formula_sum 'Sm6 Dy2 Er12 Th4'
_symmetry_space_group_name_H-M 'C 1 2/m 1'
_symmetry_Int_Tables_number 12
_cell_length_a 6.1656
_cell_length_b 10.6739
_cell_length_c 11.7053
_cell_angle_alpha 90.00
_cell_angle_beta 100.13
_cell_angle_gamma 90.00
loop_
_symmetry_equiv_pos_as_xyz
'x,y,z'
'-x,-y,-z'
'-x,y,-z'
'x,-y,z'
'x+1/2,y+1/2,z'
'-x+1/2,-y+1/2,-z'
'-x+1/2,y+1/2,-z'
'x+1/2,-y+1/2,z'
loop_
_atom_site_label
_atom_site_type_symbol
_atom_site_fract_x
_atom_site_fract_y
_atom_site_fract_z
Sm1 Sm 0.0000 0.0000 0.0000
Sm2 Sm 0.0000 0.3337 0.0000
Dy1 Dy 0.0000 0.5000 0.5000
Er1 Er 0.2447 0.0000 0.7465
Er2 Er 0.2493 0.1686 0.2540
Th1 Th 0.0000 0.1666 0.5000
```

Values from the calculation:
Calculated density (g/cm³): 9.1
DFT formation energy (meV/atom): 19
Magnetization (μB/f.u.): 0.00
DFT total energy (eV/f.u.): -60.7


# Ac2Nd2Sn

A relaxed structure of Ac2Nd2Sn (PBE, Alexandria).

```
data_Ac2Nd2Sn
_chemical_formula_sum 'Ac4 Nd4 Sn2'
_symmetry_space_group_name_H-M 'I 4/m m m'
_symmetry_Int_Tables_number 139
_symmetry_space_group_name_Hall '-I 4 2'
_cell_length_a 4.4722
_cell_length_b 4.4722
_cell_length_c 19.9212
_cell_angle_alpha 90.00
_cell_angle_beta 90.00
_cell_angle_gamma 90.00
loop_
_atom_site_label
_atom_site_type_symbol
_atom_site_fract_x
_atom_site_fract_y
_atom_site_fract_z
Ac1 Ac 0.0000 0.0000 0.0854
Nd1 Nd 0.0000 0.5000 0.2500
Sn1 Sn 0.0000 0.0000 0.5000
```

Values from the calculation:
Calculated density (g/cm³): 7.2
DFT formation energy (meV/atom): 101
Magnetization (μB/f.u.): 0.00
DFT total energy (eV/f.u.): -21.3


# MnHN

A relaxed structure of MnHN (PBE, Alexandria).

```
data_MnHN
_chemical_formula_sum 'Mn3 H3 N3'
_symmetry_space_group_name_H-M 'R 3 m'
_symmetry_Int_Tables_number 160
_symmetry_space_group_name_Hall 'R 3 -2"'
_cell_length_a 2.6883
_cell_length_b 2.6883
_cell_length_c 9.4615
_cell_angle_alpha 90.00
_cell_angle_beta 90.00
_cell_angle_gamma 120.00
loop_
_atom_site_label
_atom_site_type_symbol
_atom_site_fract_x
_atom_site_fract_y
_atom_site_fract_z
Mn1 Mn 0.0000 0.0000 0.0000
H1 H 0.0000 0.0000 0.2648
N1 N 0.0000 0.0000 0.7870
```

Values from the calculation:
Calculated density (g/cm³): 5.9
ΔE to the lowest computed polymorph (eV/atom): 0.0578
Magnetization (μB/f.u.): 0.05
DFT total energy (eV/f.u.): -20.6